Record 1
First-principles (PBE-GGA) data for a geometry-optimized Nb2ZnPd6 structure, as listed in Alexandria.

```
data_Nb2ZnPd6
_chemical_formula_sum 'Nb4 Zn2 Pd12'
_symmetry_space_group_name_H-M 'C 1 2/m 1'
_symmetry_Int_Tables_number 12
_symmetry_space_group_name_Hall '-C 2y'
_cell_length_a 13.712
_cell_length_b 7.536
_cell_length_c 2.792
_cell_angle_alpha 90.00
_cell_angle_beta 90.03
_cell_angle_gamma 90.00
loop_
_atom_site_label
_atom_site_type_symbol
_atom_site_fract_x
_atom_site_fract_y
_atom_site_fract_z
Nb1 Nb 0.179 0.000 0.498
Zn1 Zn 0.000 0.500 0.000
Pd1 Pd 0.000 0.183 0.500
Pd2 Pd 0.161 0.320 0.998
```

* energy relative to the elements: -26.2 kJ/mol of atoms
* N(E_F): 0.6874 states/eV/atom
* E_tot: -6.1125 eV per atom

***

Record 2
First-principles (PBE-GGA) data for a geometry-optimized NpHg2Pd8 structure, as listed in Alexandria.

```
data_NpHg2Pd8
_chemical_formula_sum 'Np2 Hg4 Pd16'
_symmetry_space_group_name_H-M 'C 1 2/m 1'
_symmetry_Int_Tables_number 12
_symmetry_space_group_name_Hall '-C 2y'
_cell_length_a 14.677
_cell_length_b 4.178
_cell_length_c 6.394
_cell_angle_alpha 90.00
_cell_angle_beta 105.40
_cell_angle_gamma 90.00
loop_
_atom_site_label
_atom_site_type_symbol
_atom_site_fract_x
_atom_site_fract_y
_atom_site_fract_z
Np1 Np 0.000 0.000 0.000
Hg1 Hg 0.223 0.500 0.646
Pd1 Pd 0.043 0.500 0.727
Pd2 Pd 0.088 0.000 0.450
Pd3 Pd 0.134 0.500 0.178
Pd4 Pd 0.179 0.000 0.912
```

* offset from the most stable computed form: 0 meV per atom
* energy relative to the elements: -24.6 kJ/mol of atoms
* N(E_F): 1.3569 states/eV/atom
* E_tot: -5.2634 eV per atom

***

energy relative to the elements of number 1 (Nb2ZnPd6)?
-26.2 kJ/mol of atoms

***

Which of these has the lowest N(E_F)?
Nb2ZnPd6

***

Number 2 is which compound?
NpHg2Pd8

***

The lowest energy relative to the elements belongs to which entry?
Nb2ZnPd6